[1]
Material: TbPrAg
Method: DFT, GGA-PBE
State: optimized geometry

## Properties
- ΔH_f (0 K) (meV per atom) = 78
- distance to the lowest polymorph of the same formula (meV per atom) = 233

Cell lengths 7.2633, 7.2633, 7.2633 Å; angles 90.00, 90.00, 90.00 degrees
Closest atoms and distances in Å follow each position.
Space group F-43m (No. 216)
One atom of each set of equivalent atoms:
Tb (0.0000, 0.0000, 0.0000) (multiplicity 4)  4 Ag 3.15
Pr (0.0000, 0.0000, 0.5000) (multiplicity 4)  4 Ag 3.15
Ag (0.2500, 0.2500, 0.2500) (multiplicity 4)  4 Tb 3.15, 4 Pr 3.15

[2]
Material: NdYAl4
Method: DFT, GGA-PBE
State: optimized geometry

## Properties
- ΔH_f (0 K) (meV per atom) = -507

Cell lengths 7.9645, 7.9645, 7.9645 Å; angles 90.00, 90.00, 90.00 degrees
Closest atoms and distances in Å follow each position.
Space group F-43m (No. 216)
One atom of each set of equivalent atoms:
Nd (0.0000, 0.0000, 0.0000) (multiplicity 4)  12 Al 3.30, 4 Y 3.45
Y (0.2500, 0.2500, 0.7500) (multiplicity 4)  12 Al 3.30, 4 Nd 3.45
Al (0.1249, 0.1249, 0.3751) (multiplicity 16)  6 Al 2.81-2.82

[3]
Material: PmYAlPd
Method: DFT, GGA-PBE
State: optimized geometry

## Properties
- ΔH_f (0 K) (meV per atom) = -597
- distance to the lowest polymorph of the same formula (meV per atom) = 0

Cell lengths 4.4812, 3.8611, 11.3966 Å; angles 90.00, 90.00, 90.00 degrees
Closest atoms and distances in Å follow each position.
Space group Amm2 (No. 38)
One atom of each set of equivalent atoms:
Pm (0.0000, 0.0000, 0.0000) (multiplicity 2)  4 Pd 3.10, 3 Al 3.16-3.20
Y (0.5000, 0.0000, 0.7102) (multiplicity 2)  3 Pd 3.05-3.33, 4 Al 3.06
Al (0.0000, 0.0000, 0.2804) (multiplicity 2)  2 Pd 2.73
Pd (0.5000, 0.0000, 0.4179) (multiplicity 2)  2 Al 2.73, 2 Y 3.05

[4]
Material: CoPSe2
Method: DFT, GGA-PBE
State: optimized geometry

## Properties
- ΔE_f (raw) (eV/atom) = 0.2191

Cell lengths 5.5786, 5.5786, 10.9238 Å; angles 90.00, 90.00, 90.00 degrees
Closest atoms and distances in Å follow each position.
Space group I-42d (No. 122)
One atom of each set of equivalent atoms:
Co (0.0000, 0.0000, 0.0000) (multiplicity 4)  4 Se 2.26
P (0.0000, 0.0000, 0.5000) (multiplicity 4)  4 Se 2.55
Se (0.2058, 0.2500, 0.1250) (multiplicity 8)  2 Co 2.26

| no. | DFT total energy (eV per formula unit) |
| --- | --- |
| 1 | -12.026 |
| 2 | -29.243 |
| 3 | -22.537 |
| 4 | -18.608 |